*P*
# BeZnCu2

Crystalline BeZnCu2 at its relaxed geometry (PBE-GGA, Alexandria).

Cell lengths 4.0252, 4.0252, 4.0252 Å; angles 60.00, 60.00, 60.00 degrees
Fractional coordinates of all 4 atoms:
Cu1 0.7500 0.7500 0.7500
Cu2 0.2500 0.2500 0.2500
Be1 0.0000 0.0000 0.0000
Zn1 0.5000 0.5000 0.5000

Output
* space group: No. 225

---

*Q*
# BeZnCu2

Crystalline BeZnCu2 at its relaxed geometry (PBE-GGA, Alexandria).

Cell lengths 4.4963, 4.4963, 4.4963 Å; angles 134.00, 134.00, 67.09 degrees
Fractional coordinates of all 4 atoms:
Cu1 0.0000 0.0000 0.0000
Be1 0.7500 0.2500 0.5000
Zn1 0.5000 0.5000 0.0000
Cu2 0.2500 0.7500 0.5000

Output
* space group: No. 119

---

According to the calculations, the structures order from most to least stable as *P*, *Q*.